Computed, not measured: MnVF5 after structural relaxation at the PBE+U level of DFT.

```
7
Lattice="3.6052 0.0003 1.3212 1.4969 5.1003 1.4952 0.0219 0.0535 5.5214" Properties=species:S:1:pos:R:3 pbc="T T T"
F 0.4733 1.5979 4.2893
F 1.0455 3.5558 2.7273
V 0.0000 0.0000 0.0000
F 1.8026 0.0002 0.6606
Mn 2.5620 2.5770 4.1689
F 2.0277 3.8986 5.6297
F 3.0962 1.2555 2.7081
```

Values from the calculation:
For the raw total energy, the calculation gives -43.59 eV for the cell shown.